No. 1
Here is a geometry-optimized Li2VPO6 structure from the Alexandria database. Energies are from PBE with a Hubbard U.

Output
Uncorrected energy: -6.5477 eV per atom
Energy above the lowest structure with this stoichiometry: 248 meV/atom
Volume: 10.74 Å³/atom

Lattice parameters (Å, degrees): 4.578 4.844 4.844 90.00 90.00 90.00
Atoms (fractional coordinates):
1 Li 0.967 0.000 0.500
2 Li 0.967 0.500 0.000
3 O 0.233 0.500 0.500
4 O 0.709 0.765 0.235
5 O 0.260 0.000 0.000
6 O 0.709 0.235 0.765
7 O 0.709 0.765 0.765
8 O 0.709 0.235 0.235
9 P 0.592 0.000 0.000
10 V 0.592 0.500 0.500


No. 2
Here is a geometry-optimized Li5VP4O14 structure from the Alexandria database. Energies are from PBE with a Hubbard U.

Output
Uncorrected energy: -6.7654 eV per atom
Volume: 10.69 Å³/atom
Density of states at the Fermi level: 0.0 states/eV/cell

Lattice parameters (Å, degrees): 7.028 8.890 9.060 77.11 76.39 70.88
Atoms (fractional coordinates):
1 O 0.074 0.385 0.314
2 O 0.271 0.938 0.383
3 O 0.536 0.828 0.564
4 O 0.184 0.002 0.661
5 O 0.954 0.775 0.137
6 O 0.612 0.341 0.821
7 O 0.467 0.312 0.115
8 O 0.926 0.615 0.686
9 O 0.237 0.721 0.623
10 O 0.763 0.279 0.377
11 O 0.727 0.546 0.449
12 O 0.088 0.141 0.149
13 O 0.388 0.659 0.179
14 O 0.224 0.936 0.988
15 O 0.940 0.288 0.587
16 O 0.533 0.688 0.885
17 O 0.912 0.859 0.851
18 O 0.729 0.062 0.617
19 O 0.464 0.172 0.436
20 O 0.388 0.167 0.932
21 O 0.046 0.225 0.863
22 O 0.612 0.833 0.068
23 O 0.776 0.064 0.012
24 O 0.273 0.454 0.551
25 O 0.816 0.998 0.339
26 O 0.060 0.712 0.413
27 O 0.773 0.528 0.070
28 O 0.227 0.472 0.930
29 P 0.819 0.883 0.019
30 P 0.879 0.383 0.432
31 P 0.121 0.617 0.568
32 P 0.311 0.882 0.549
33 P 0.181 0.117 0.981
34 P 0.574 0.663 0.049
35 P 0.689 0.118 0.451
36 P 0.426 0.337 0.951
37 Li 0.354 0.439 0.319
38 Li 0.762 0.762 0.391
39 Li 0.707 0.828 0.721
40 Li 0.029 0.534 0.126
41 Li 0.646 0.561 0.681
42 Li 0.764 0.232 0.138
43 Li 0.236 0.768 0.862
44 Li 0.238 0.238 0.609
45 Li 0.971 0.466 0.874
46 Li 0.293 0.172 0.279
47 V 0.125 0.876 0.237
48 V 0.875 0.124 0.763


No. 3
Here is a geometry-optimized LiVPO4 structure from the Alexandria database. Energies are from PBE with a Hubbard U.

Output
Uncorrected energy: -7.1587 eV per atom
Energy above the lowest structure with this stoichiometry: 3 meV/atom
Volume: 10.61 Å³/atom
Density of states at the Fermi level: 0.0 states/eV/cell

Lattice parameters (Å, degrees): 5.073 5.073 6.294 90.00 90.00 113.50
Atoms (fractional coordinates):
1 O 0.752 0.248 0.048
2 O 0.752 0.248 0.452
3 O 0.192 0.257 0.250
4 O 0.248 0.752 0.548
5 O 0.257 0.192 0.750
6 O 0.248 0.752 0.952
7 O 0.743 0.808 0.250
8 O 0.808 0.743 0.750
9 V 0.500 0.500 0.500
10 V 0.500 0.500 0.000
11 P 0.147 0.853 0.750
12 P 0.853 0.147 0.250
13 Li 0.834 0.166 0.750
14 Li 0.166 0.834 0.250


No. 4
Here is a geometry-optimized LiVP2O7 structure from the Alexandria database. Energies are from PBE with a Hubbard U.

Output
Uncorrected energy: -7.2253 eV per atom
Volume: 11.57 Å³/atom
Density of states at the Fermi level: 0.0 states/eV/cell

Lattice parameters (Å, degrees): 6.744 8.491 9.148 90.00 103.71 90.00
Atoms (fractional coordinates):
1 O 0.250 0.250 0.428
2 O 0.608 0.250 0.110
3 O 0.394 0.750 0.398
4 O 0.233 0.250 0.043
5 O 0.903 0.899 0.384
6 O 0.570 0.601 0.122
7 O 0.115 0.750 0.606
8 O 0.903 0.601 0.384
9 O 0.482 0.599 0.651
10 O 0.136 0.750 0.114
11 O 0.097 0.101 0.616
12 O 0.028 0.600 0.863
13 O 0.864 0.250 0.886
14 O 0.430 0.399 0.878
15 O 0.518 0.401 0.349
16 O 0.750 0.750 0.572
17 O 0.972 0.400 0.137
18 O 0.028 0.900 0.863
19 O 0.767 0.750 0.957
20 O 0.972 0.100 0.137
21 O 0.885 0.250 0.394
22 O 0.430 0.101 0.878
23 O 0.518 0.099 0.349
24 O 0.606 0.250 0.602
25 O 0.482 0.901 0.651
26 O 0.097 0.399 0.616
27 O 0.392 0.750 0.890
28 O 0.570 0.899 0.122
29 V 0.752 0.062 0.250
30 V 0.248 0.562 0.750
31 V 0.752 0.438 0.250
32 V 0.248 0.938 0.750
33 Li 0.693 0.085 0.758
34 Li 0.307 0.915 0.242
35 Li 0.693 0.415 0.758
36 Li 0.307 0.585 0.242
37 P 0.082 0.250 0.524
38 P 0.008 0.750 0.954
39 P 0.424 0.250 0.970
40 P 0.576 0.750 0.030
41 P 0.492 0.250 0.439
42 P 0.508 0.750 0.561
43 P 0.918 0.750 0.476
44 P 0.992 0.250 0.046


No. 5
Here is a geometry-optimized LiVPO5 structure from the Alexandria database. Energies are from PBE with a Hubbard U.

Output
Uncorrected energy: -7.1313 eV per atom
Energy above the lowest structure with this stoichiometry: 38 meV/atom
Volume: 11.50 Å³/atom
Density of states at the Fermi level: 0.0 states/eV/cell

Lattice parameters (Å, degrees): 6.363 6.363 4.546 90.00 90.00 91.66
Atoms (fractional coordinates):
1 V 0.748 0.752 0.418
2 V 0.248 0.252 0.582
3 O 0.252 0.949 0.704
4 O 0.944 0.259 0.701
5 O 0.256 0.244 0.220
6 O 0.241 0.556 0.701
7 O 0.752 0.449 0.296
8 O 0.756 0.744 0.780
9 O 0.444 0.759 0.299
10 O 0.051 0.748 0.296
11 O 0.741 0.056 0.299
12 O 0.551 0.248 0.704
13 Li 0.986 0.514 0.984
14 Li 0.486 0.014 0.016
15 P 0.247 0.753 0.500
16 P 0.747 0.253 0.500


No. 6
Here is a geometry-optimized LiVP2O7 structure from the Alexandria database. Energies are from PBE with a Hubbard U.

Output
Uncorrected energy: -7.2156 eV per atom
Volume: 11.06 Å³/atom
Density of states at the Fermi level: 0.0 states/eV/cell

Lattice parameters (Å, degrees): 5.322 5.323 9.087 82.14 97.87 75.80
Atoms (fractional coordinates):
1 Li 0.718 0.680 0.491
2 Li 0.320 0.282 0.991
3 O 0.103 0.610 0.609
4 O 0.033 0.656 0.110
5 O 0.931 0.394 0.387
6 O 0.392 0.629 0.851
7 O 0.344 0.967 0.610
8 O 0.980 0.968 0.761
9 O 0.371 0.608 0.351
10 O 0.032 0.020 0.261
11 O 0.390 0.897 0.109
12 O 0.628 0.369 0.143
13 O 0.628 0.086 0.393
14 O 0.914 0.372 0.893
15 O 0.631 0.372 0.643
16 O 0.606 0.069 0.887
17 P 0.215 0.789 0.703
18 P 0.211 0.785 0.203
19 P 0.772 0.212 0.799
20 P 0.788 0.228 0.299
21 V 0.321 0.326 0.503
22 V 0.674 0.679 0.003


No. 7
Here is a geometry-optimized Li2V3P5O18 structure from the Alexandria database. Energies are from PBE with a Hubbard U.

Output
Uncorrected energy: -7.2660 eV per atom
Volume: 14.34 Å³/atom

Lattice parameters (Å, degrees): 4.873 12.666 13.245 91.48 100.60 90.00
Atoms (fractional coordinates):
1 O 0.762 0.224 0.607
2 O 0.845 0.878 0.458
3 O 0.238 0.776 0.393
4 O 0.846 0.724 0.607
5 O 0.018 0.294 0.916
6 O 0.613 0.378 0.458
7 O 0.398 0.157 0.953
8 O 0.761 0.070 0.124
9 O 0.223 0.005 0.090
10 O 0.363 0.570 0.124
11 O 0.154 0.276 0.393
12 O 0.555 0.657 0.953
13 O 0.777 0.995 0.910
14 O 0.963 0.383 0.751
15 O 0.637 0.430 0.876
16 O 0.239 0.930 0.876
17 O 0.140 0.465 0.395
18 O 0.745 0.035 0.605
19 O 0.155 0.122 0.542
20 O 0.133 0.495 0.910
21 O 0.788 0.883 0.751
22 O 0.445 0.343 0.047
23 O 0.325 0.872 0.569
24 O 0.037 0.617 0.249
25 O 0.898 0.794 0.916
26 O 0.982 0.706 0.084
27 O 0.860 0.535 0.605
28 O 0.756 0.628 0.431
29 O 0.255 0.965 0.395
30 O 0.212 0.117 0.249
31 O 0.244 0.372 0.569
32 O 0.675 0.128 0.431
33 O 0.102 0.206 0.084
34 O 0.387 0.622 0.542
35 O 0.602 0.843 0.047
36 O 0.867 0.505 0.090
37 P 0.836 0.127 0.543
38 P 0.930 0.906 0.864
39 P 0.934 0.406 0.864
40 P 0.707 0.627 0.543
41 P 0.270 0.250 0.000
42 P 0.730 0.750 0.000
43 P 0.070 0.094 0.136
44 P 0.164 0.873 0.457
45 P 0.293 0.373 0.457
46 P 0.066 0.594 0.136
47 Li 0.193 0.628 0.663
48 Li 0.530 0.872 0.337
49 Li 0.807 0.372 0.337
50 Li 0.470 0.128 0.663
51 V 0.157 0.623 0.393
52 V 0.843 0.377 0.607
53 V 0.764 0.877 0.607
54 V 0.236 0.123 0.393
55 V 0.500 0.000 0.000
56 V 0.500 0.500 0.000


No. 8
Here is a geometry-optimized Li3V4P6O24 structure from the Alexandria database. Energies are from PBE with a Hubbard U.

Output
Uncorrected energy: -7.2139 eV per atom
Energy above the lowest structure with this stoichiometry: 48 meV/atom
Volume: 11.80 Å³/atom
Density of states at the Fermi level: 1.3 states/eV/cell

Lattice parameters (Å, degrees): 6.419 8.380 8.896 91.28 107.27 105.85
Atoms (fractional coordinates):
1 V 0.366 0.942 0.615
2 V 0.634 0.058 0.385
3 V 0.129 0.367 0.060
4 V 0.871 0.633 0.940
5 O 0.412 0.353 0.042
6 O 0.039 0.739 0.151
7 O 0.367 0.812 0.785
8 O 0.845 0.709 0.543
9 O 0.109 0.180 0.176
10 O 0.182 0.600 0.949
11 O 0.776 0.269 0.555
12 O 0.818 0.400 0.051
13 O 0.633 0.188 0.215
14 O 0.476 0.830 0.271
15 O 0.224 0.731 0.445
16 O 0.747 0.473 0.758
17 O 0.961 0.261 0.849
18 O 0.891 0.820 0.824
19 O 0.588 0.647 0.958
20 O 0.743 0.498 0.293
21 O 0.320 0.057 0.410
22 O 0.257 0.502 0.707
23 O 0.896 0.999 0.340
24 O 0.524 0.170 0.729
25 O 0.680 0.943 0.590
26 O 0.104 0.001 0.660
27 O 0.253 0.527 0.242
28 O 0.155 0.291 0.457
29 P 0.347 0.636 0.843
30 P 0.884 0.860 0.652
31 P 0.750 0.291 0.720
32 P 0.250 0.709 0.280
33 P 0.653 0.364 0.157
34 P 0.116 0.140 0.348
35 Li 0.000 0.500 0.500
36 Li 0.230 0.265 0.686
37 Li 0.770 0.735 0.314